Version P
Computed, not measured: an optimized crystal structure of BeBr2O2 at the PBE level of DFT.

```
BeBr2O2
1.0
-2.841 -4.431 -1.920
2.907 -3.348 3.426
-3.094 0.594 3.207
O Br Be
4 4 2
Direct
0.223 0.723 0.000
0.777 0.277 0.000
0.723 0.777 0.000
0.277 0.223 0.000
0.690 0.810 0.500
0.310 0.190 0.500
0.810 0.310 0.500
0.190 0.690 0.500
0.500 0.500 0.000
0.000 0.000 0.000
```

Computed properties:
SG ... P4/mbm (127)
Calculated volume ... 14.1 A^3/atom
Spin magnetization ... 0.0 μB per formula unit

***

Version Q
Computed, not measured: an optimized crystal structure of BeBr2O2 at the PBE level of DFT.

```
BeBr2O2
1.0
5.073 0.000 0.000
0.000 5.073 0.000
2.537 2.537 3.563
Be Br O
1 2 2
Direct
0.000 0.000 0.000
0.750 0.250 0.500
0.250 0.750 0.500
0.587 0.587 0.826
0.413 0.413 0.174
```

Computed properties:
SG ... I4/mmm (139)
Calculated volume ... 18.3 A^3/atom
Spin magnetization ... 2.0 μB per formula unit

***

Most stable structure, least stable structure: version P, version Q.

***

Version P
Computed, not measured: an optimized crystal structure of Be2OsBr at the PBE level of DFT.

```
Be2OsBr
1.0
3.075 0.000 0.000
0.000 3.075 0.000
0.000 0.000 7.070
Br Be Os
1 2 1
Direct
0.000 0.000 0.386
0.500 0.500 0.206
0.000 0.000 0.005
0.500 0.500 0.903
```

Computed properties:
SG ... P4mm (99)
Calculated volume ... 16.7 A^3/atom
Spin magnetization ... 0.0 μB per formula unit

***

Version Q
Computed, not measured: an optimized crystal structure of Be2OsBr at the PBE level of DFT.

```
Be2OsBr
1.0
-3.845 -1.245 1.092
-3.166 0.354 -2.717
-1.662 -3.428 -1.736
Be Os Br
2 1 1
Direct
0.750 0.750 0.750
0.250 0.250 0.250
0.500 0.500 0.500
0.000 0.000 0.000
```

Computed properties:
SG ... Fm-3m (225)
Calculated volume ... 13.0 A^3/atom
Spin magnetization ... 0.0 μB per formula unit

***

Version R
Computed, not measured: an optimized crystal structure of Be2OsBr at the PBE level of DFT.

```
Be2OsBr
1.0
-1.213 0.659 2.733
0.836 -2.757 1.036
5.182 2.233 1.761
Br Os Be
1 1 2
Direct
0.500 0.500 0.250
0.500 0.500 0.750
0.000 0.000 0.577
0.000 0.000 0.923
```

Computed properties:
SG ... P4/mmm (123)
Calculated volume ... 13.8 A^3/atom
Spin magnetization ... 0.0 μB per formula unit

***

Version S
Computed, not measured: an optimized crystal structure of Be2OsBr at the PBE level of DFT.

```
Be2OsBr
1.0
-1.258 2.424 0.184
-1.621 -2.205 0.005
0.578 -0.403 9.256
Be Br Os
2 1 1
Direct
0.000 0.000 0.024
0.500 0.500 0.209
0.000 0.000 0.431
0.500 0.500 0.836
```

Computed properties:
SG ... Cmm2 (35)
Calculated volume ... 15.6 A^3/atom
Spin magnetization ... 0.0 μB per formula unit

***

Most stable structure, least stable structure: version R, version Q.